A relaxed Fe2RuPb crystal. Source: the Alexandria database, functional GGA-PBE.

Lattice parameters (Å, degrees): 4.961 4.961 4.961 138.37 129.33 67.59
Element x y z (fractional)
Fe: 0.000 0.000 0.000
Fe: 0.780 0.280 0.500
Ru: 0.257 0.757 0.500
Pb: 0.522 0.522 0.000

Computed properties:
energy of formation = 433 meV per atom
DOS at the Fermi energy = 3.4 states/eV/cell
V = 15.4 Å³ per atom



A relaxed TaCd2Os crystal. Source: the Alexandria database, functional GGA-PBE.

Lattice parameters (Å, degrees): 2.871 4.587 5.479 90.00 90.00 90.00
Element x y z (fractional)
Ta: 0.000 0.000 0.000
Cd: 0.500 0.500 0.254
Cd: 0.500 0.500 0.746
Os: 0.000 0.000 0.500

Computed properties:
energy of formation = 515 meV per atom
DOS at the Fermi energy = 2.9 states/eV/cell
V = 18.0 Å³ per atom
polymorph energy (0 for the lowest one) = 0.4004 eV/atom



A relaxed NbAs3Rh crystal. Source: the Alexandria database, functional GGA-PBE.

Lattice parameters (Å, degrees): 4.927 4.927 4.927 90.00 90.00 90.00
Element x y z (fractional)
Nb: 0.000 0.000 0.000
As: 0.000 0.000 0.500
As: 0.000 0.500 0.000
As: 0.500 0.000 0.000
Rh: 0.500 0.500 0.500

Computed properties:
energy of formation = 734 meV per atom
DOS at the Fermi energy = 3.8 states/eV/cell
V = 23.9 Å³ per atom
polymorph energy (0 for the lowest one) = 0.0000 eV/atom



A relaxed Si2NiAg crystal. Source: the Alexandria database, functional GGA-PBE.

Lattice parameters (Å, degrees): 4.343 4.343 4.343 60.00 60.00 60.00
Element x y z (fractional)
Si: 0.250 0.250 0.250
Si: 0.750 0.750 0.750
Ni: 0.000 0.000 0.000
Ag: 0.500 0.500 0.500

Computed properties:
formation energy without anion corrections = 295 meV/atom
DOS at the Fermi energy = 3.0 states/eV/cell
V = 14.5 Å³ per atom
polymorph energy (0 for the lowest one) = 0.3099 eV/atom



A relaxed YFeRe crystal. Source: the Alexandria database, functional GGA-PBE.

Lattice parameters (Å, degrees): 5.327 5.327 5.327 122.00 119.84 88.42
Element x y z (fractional)
Y: 0.374 0.124 0.250
Y: 0.626 0.876 0.750
Fe: 0.000 0.500 0.500
Fe: 0.500 0.500 0.000
Re: 0.000 0.000 0.500
Re: 0.000 0.500 0.000

Computed properties:
energy of formation = -89 meV per atom
DOS at the Fermi energy = 6.7 states/eV/cell
V = 17.5 Å³ per atom
polymorph energy (0 for the lowest one) = 0.0000 eV/atom



A relaxed PrMg12Rh6 crystal. Source: the Alexandria database, functional GGA-PBE.

Lattice parameters (Å, degrees): 7.499 7.499 7.499 103.95 103.95 103.95
Element x y z (fractional)
Pr: 0.000 0.000 0.000
Mg: 0.120 0.500 0.880
Mg: 0.120 0.880 0.500
Mg: 0.170 0.438 0.438
Mg: 0.438 0.170 0.438
Mg: 0.438 0.438 0.170
Mg: 0.500 0.120 0.880
Mg: 0.500 0.880 0.120
Mg: 0.562 0.562 0.830
Mg: 0.562 0.830 0.562
Mg: 0.830 0.562 0.562
Mg: 0.880 0.120 0.500
Mg: 0.880 0.500 0.120
Rh: 0.251 0.251 0.699
Rh: 0.251 0.699 0.251
Rh: 0.301 0.749 0.749
Rh: 0.699 0.251 0.251
Rh: 0.749 0.301 0.749
Rh: 0.749 0.749 0.301

Computed properties:
energy of formation = -265 meV per atom
DOS at the Fermi energy = 10.3 states/eV/cell
V = 19.8 Å³ per atom



These records have E values of -7.04; -5.71; -5.54; -4.57; -9.21; -3.85 eV per atom, in the order they appear.